No. 1
44
Lattice="7.286 0.000 0.000 0.000 10.376 0.000 0.000 0.000 7.401" Properties=species:S:1:pos:R:3 comment="Er3TaO7 | Alexandria | GGA-PBEsol | optimized geometry" total_energy_ev_per_atom=-9.296 space_group=Pnma polymorph_energy_mev_per_atom=20.9 pbc="T T T"
Er 0.121 2.594 1.512
Er 1.812 0.232 3.966
Er 1.812 4.956 3.966
Er 1.831 5.420 0.266
Er 1.831 10.144 0.266
Er 3.522 7.782 5.213
Er 3.764 2.594 2.189
Er 5.455 0.232 7.136
Er 5.455 4.956 7.136
Er 5.474 5.420 3.435
Er 5.474 10.144 3.435
Er 7.165 7.782 5.889
Ta 0.021 2.594 5.557
Ta 3.622 7.782 1.857
Ta 3.664 2.594 5.545
Ta 7.265 7.782 1.844
O 0.294 1.287 7.081
O 0.294 3.901 7.081
O 0.326 6.307 3.026
O 0.326 9.257 3.026
O 1.752 6.396 5.693
O 1.752 9.168 5.693
O 1.811 2.594 4.838
O 1.832 7.782 1.137
O 1.891 1.208 1.992
O 1.891 3.980 1.992
O 3.317 1.119 6.727
O 3.317 4.069 6.727
O 3.349 6.475 3.380
O 3.349 9.089 3.380
O 3.937 1.287 4.021
O 3.937 3.901 4.021
O 3.969 6.307 0.675
O 3.969 9.257 0.675
O 5.395 6.396 5.409
O 5.395 9.168 5.409
O 5.453 2.594 6.264
O 5.475 7.782 2.564
O 5.534 1.208 1.709
O 5.534 3.980 1.709
O 6.959 1.119 4.375
O 6.959 4.069 4.375
O 6.992 6.475 0.321
O 6.992 9.089 0.321

=====

No. 2
5
Lattice="4.027 0.000 0.000 0.000 4.027 0.000 0.000 0.000 5.693" Properties=species:S:1:pos:R:3 comment="CdSeN2O | Alexandria | GGA-PBEsol | optimized geometry" total_energy_ev_per_atom=-3.193 space_group=P4/mmm pbc="T T T"
Cd 0.000 0.000 0.000
Se 0.000 0.000 2.846
N 0.000 2.014 0.000
N 2.014 0.000 0.000
O 2.014 2.014 2.846

=====

No. 3
5
Lattice="4.556 0.000 0.000 0.000 4.556 0.000 0.000 0.000 4.556" Properties=species:S:1:pos:R:3 comment="Zn3PdPt | Alexandria | GGA-PBEsol | optimized geometry" total_energy_ev_per_atom=-2.995 delta_e_f_ev_per_atom=0.5390 space_group=Pm-3m pbc="T T T"
Zn 0.000 0.000 2.278
Zn 0.000 2.278 0.000
Zn 2.278 0.000 0.000
Pd 0.000 0.000 0.000
Pt 2.278 2.278 2.278

=====

No. 4
5
Lattice="5.146 0.000 0.000 0.000 5.146 0.000 0.000 0.000 5.146" Properties=species:S:1:pos:R:3 comment="CsPt3N | Alexandria | GGA-PBEsol | optimized geometry" total_energy_ev_per_atom=-2.819 space_group=Pm-3m pbc="T T T"
Cs 0.000 0.000 0.000
Pt 0.000 0.000 2.573
Pt 0.000 2.573 0.000
Pt 2.573 0.000 0.000
N 2.573 2.573 2.573

=====

No. 5
4
Lattice="5.013 0.000 0.000 0.000 5.013 0.000 0.000 0.000 3.122" Properties=species:S:1:pos:R:3 comment="BaP2Rh | Alexandria | GGA-PBEsol | optimized geometry" total_energy_ev_per_atom=-5.149 delta_e_f_ev_per_atom=0.3185 space_group=P4/mmm pbc="T T T"
Ba 0.000 0.000 0.000
P 0.000 2.506 1.561
P 2.506 0.000 1.561
Rh 2.506 2.506 0.000

=====

No. 6
6
Lattice="3.903 0.000 0.000 -1.952 3.380 0.000 0.000 0.000 7.564" Properties=species:S:1:pos:R:3 comment="Gd2CoNi3 | Alexandria | GGA-PBEsol | optimized geometry" total_energy_ev_per_atom=-9.464 delta_e_f_ev_per_atom=-0.2795 space_group=P-6m2 pbc="T T T"
Gd 0.000 0.000 1.874
Gd 0.000 0.000 5.690
Co 1.952 1.127 0.000
Ni 0.000 2.253 0.000
Ni 0.000 2.253 3.782
Ni 1.952 1.127 3.782

=====

No. 7
5
Lattice="6.086 0.000 0.000 0.000 6.086 0.000 0.000 0.000 6.086" Properties=species:S:1:pos:R:3 comment="K3TiSn | Alexandria | GGA-PBEsol | optimized geometry" total_energy_ev_per_atom=-2.041 delta_e_f_ev_per_atom=1.1552 space_group=Pm-3m pbc="T T T"
K 0.000 0.000 3.043
K 0.000 3.043 0.000
K 3.043 0.000 0.000
Ti 0.000 0.000 0.000
Sn 3.043 3.043 3.043

=====

No. 8
5
Lattice="5.217 0.000 0.000 0.000 5.217 0.000 0.000 0.000 5.217" Properties=species:S:1:pos:R:3 comment="Sr3BrO | Alexandria | GGA-PBEsol | optimized geometry" total_energy_ev_per_atom=-3.774 space_group=Pm-3m pbc="T T T"
Sr 0.000 0.000 2.608
Sr 0.000 2.608 0.000
Sr 2.608 0.000 0.000
Br 2.608 2.608 2.608
O 0.000 0.000 0.000

=====

no.,total moment (μB/f.u.)
1,0.0
2,4.4
3,0.0
4,2.8
5,0.0
6,14.4
7,3.0
8,0.0